No. 1
# Al2TlGa PBE-GGA optimized geometry
data_Al2TlGa
_chemical_formula_sum 'Al2 Tl1 Ga1'
_space_group_name_H-M_alt 'P 1'
_space_group_IT_number 1
_cell_length_a 3.3713
_cell_length_b 3.3713
_cell_length_c 7.5039
_cell_angle_alpha 90.00
_cell_angle_beta 90.00
_cell_angle_gamma 90.00
loop_
_space_group_symop_operation_xyz
'x,y,z'
loop_
_atom_site_label
_atom_site_type_symbol
_atom_site_fract_x
_atom_site_fract_y
_atom_site_fract_z
Tl1 Tl 0.5000 0.5000 0.5000
Al1 Al 0.0000 0.0000 0.7966
Al2 Al 0.0000 0.0000 0.2034
Ga1 Ga 0.5000 0.5000 0.0000
# Total DFT energy (no corrections)   -12.1 eV per formula unit
# M_tot   0.00 μB per formula unit
# Theoretical density   6388 kg/m3



No. 2
# CrCo2Ru PBE-GGA optimized geometry
data_CrCo2Ru
_chemical_formula_sum 'Cr1 Co2 Ru1'
_space_group_name_H-M_alt 'P 1'
_space_group_IT_number 1
_cell_length_a 2.5405
_cell_length_b 3.6285
_cell_length_c 5.0378
_cell_angle_alpha 90.00
_cell_angle_beta 90.00
_cell_angle_gamma 90.00
loop_
_space_group_symop_operation_xyz
'x,y,z'
loop_
_atom_site_label
_atom_site_type_symbol
_atom_site_fract_x
_atom_site_fract_y
_atom_site_fract_z
Co1 Co 0.0000 0.0000 0.0051
Co2 Co 0.0000 0.0000 0.4949
Cr1 Cr 0.5000 0.5000 0.2500
Ru1 Ru 0.5000 0.5000 0.7500
# Total DFT energy (no corrections)   -32.7 eV per formula unit
# M_tot   0.71 μB per formula unit
# Theoretical density   9688 kg/m3



No. 3
# Ac12Cd2Ge5 PBE-GGA optimized geometry
data_Ac12Cd2Ge5
_chemical_formula_sum 'Ac12 Cd2 Ge5'
_space_group_name_H-M_alt 'P 1'
_space_group_IT_number 1
_cell_length_a 8.0197
_cell_length_b 9.9593
_cell_length_c 10.1807
_cell_angle_alpha 100.91
_cell_angle_beta 90.00
_cell_angle_gamma 113.74
loop_
_space_group_symop_operation_xyz
'x,y,z'
loop_
_atom_site_label
_atom_site_type_symbol
_atom_site_fract_x
_atom_site_fract_y
_atom_site_fract_z
Ac1 Ac 0.9841 0.9683 0.1907
Ac2 Ac 0.0757 0.6423 0.8915
Ac3 Ac 0.5666 0.6423 0.8915
Ac4 Ac 0.0930 0.7019 0.4327
Ac5 Ac 0.6089 0.7019 0.4327
Ac6 Ac 0.4886 0.9771 0.7008
Ac7 Ac 0.5114 0.0229 0.2992
Ac8 Ac 0.9070 0.2981 0.5673
Ac9 Ac 0.3911 0.2981 0.5673
Ac10 Ac 0.9243 0.3577 0.1085
Ac11 Ac 0.4334 0.3577 0.1085
Ac12 Ac 0.0159 0.0317 0.8093
Cd1 Cd 0.6747 0.0000 0.0000
Cd2 Cd 0.3253 0.0000 0.0000
Ge1 Ge 0.2977 0.5953 0.6360
Ge2 Ge 0.3282 0.6564 0.1696
Ge3 Ge 0.0000 0.0000 0.5000
Ge4 Ge 0.6718 0.3436 0.8304
Ge5 Ge 0.7023 0.4047 0.3640
# Total DFT energy (no corrections)   -79.9 eV per formula unit
# M_tot   0.00 μB per formula unit
# Theoretical density   7552 kg/m3



No. 4
# Mg3Si2O9 PBE-GGA optimized geometry
data_Mg3Si2O9
_chemical_formula_sum 'Mg6 Si4 O18'
_space_group_name_H-M_alt 'P 1'
_space_group_IT_number 1
_cell_length_a 5.4143
_cell_length_b 5.4143
_cell_length_c 14.9382
_cell_angle_alpha 88.58
_cell_angle_beta 88.58
_cell_angle_gamma 120.04
loop_
_space_group_symop_operation_xyz
'x,y,z'
loop_
_atom_site_label
_atom_site_type_symbol
_atom_site_fract_x
_atom_site_fract_y
_atom_site_fract_z
Mg1 Mg 0.8960 0.2952 0.7291
Mg2 Mg 0.2952 0.8960 0.2291
Mg3 Mg 0.2529 0.0082 0.7289
Mg4 Mg 0.0082 0.2529 0.2289
Mg5 Mg 0.6087 0.6517 0.7292
Mg6 Mg 0.6517 0.6087 0.2292
Si1 Si 0.6122 0.3450 0.5394
Si2 Si 0.3450 0.6122 0.0394
Si3 Si 0.9451 0.0114 0.5398
Si4 Si 0.0114 0.9451 0.0398
O1 O 0.7865 0.1859 0.5048
O2 O 0.1859 0.7865 0.0048
O3 O 0.2832 0.1805 0.5046
O4 O 0.1805 0.2832 0.0046
O5 O 0.7808 0.6833 0.5042
O6 O 0.6833 0.7808 0.0042
O7 O 0.5968 0.3300 0.6501
O8 O 0.3300 0.5968 0.1501
O9 O 0.9299 0.9956 0.6503
O10 O 0.9956 0.9299 0.1503
O11 O 0.9384 0.6434 0.7901
O12 O 0.6434 0.9384 0.2901
O13 O 0.5499 0.9491 0.7901
O14 O 0.9491 0.5499 0.2901
O15 O 0.2594 0.6587 0.6778
O16 O 0.6587 0.2594 0.1778
O17 O 0.2439 0.3369 0.7902
O18 O 0.3369 0.2439 0.2902
# ΔE_f (raw)   -2.002 eV/atom
# M_tot   4.00 μB per formula unit
# Theoretical density   2395 kg/m3



No. 5
# PrNdSe2 PBE-GGA optimized geometry
data_PrNdSe2
_chemical_formula_sum 'Pr1 Nd1 Se2'
_space_group_name_H-M_alt 'P 1'
_space_group_IT_number 1
_cell_length_a 5.1911
_cell_length_b 5.1911
_cell_length_c 5.1911
_cell_angle_alpha 60.00
_cell_angle_beta 60.00
_cell_angle_gamma 60.00
loop_
_space_group_symop_operation_xyz
'x,y,z'
loop_
_atom_site_label
_atom_site_type_symbol
_atom_site_fract_x
_atom_site_fract_y
_atom_site_fract_z
Pr1 Pr 0.0000 0.0000 0.0000
Nd1 Nd 0.5000 0.5000 0.5000
Se1 Se 0.2500 0.2500 0.2500
Se2 Se 0.7500 0.7500 0.7500
# ΔE_f (raw)   -1.640 eV/atom
# M_tot   0.00 μB per formula unit
# Theoretical density   7438 kg/m3



No. 6
# NaBi2S4 PBE-GGA optimized geometry
data_NaBi2S4
_chemical_formula_sum 'Na2 Bi4 S8'
_space_group_name_H-M_alt 'P 1'
_space_group_IT_number 1
_cell_length_a 8.2580
_cell_length_b 8.2580
_cell_length_c 8.2580
_cell_angle_alpha 119.93
_cell_angle_beta 90.11
_cell_angle_gamma 119.93
loop_
_space_group_symop_operation_xyz
'x,y,z'
loop_
_atom_site_label
_atom_site_type_symbol
_atom_site_fract_x
_atom_site_fract_y
_atom_site_fract_z
Na1 Na 0.0000 0.0000 0.0000
Na2 Na 0.7500 0.5000 0.2500
Bi1 Bi 0.8750 0.2500 0.6250
Bi2 Bi 0.3750 0.2500 0.6250
Bi3 Bi 0.3750 0.7500 0.6250
Bi4 Bi 0.3750 0.7500 0.1250
S1 S 0.1551 0.7703 0.3847
S2 S 0.6153 0.7704 0.3856
S3 S 0.1348 0.7297 0.8644
S4 S 0.1356 0.2704 0.8653
S5 S 0.5949 0.7296 0.8652
S6 S 0.6152 0.2296 0.8449
S7 S 0.6144 0.2297 0.3848
S8 S 0.1347 0.2703 0.4051
# ΔE_f (raw)   -0.425 eV/atom
# M_tot   0.00 μB per formula unit
# Theoretical density   4743 kg/m3



No. 7
# Ac2Ag2Pd15 PBE-GGA optimized geometry
data_Ac2Ag2Pd15
_chemical_formula_sum 'Ac2 Ag2 Pd15'
_space_group_name_H-M_alt 'P 1'
_space_group_IT_number 1
_cell_length_a 7.0737
_cell_length_b 7.0737
_cell_length_c 7.0737
_cell_angle_alpha 82.30
_cell_angle_beta 82.30
_cell_angle_gamma 82.30
loop_
_space_group_symop_operation_xyz
'x,y,z'
loop_
_atom_site_label
_atom_site_type_symbol
_atom_site_fract_x
_atom_site_fract_y
_atom_site_fract_z
Ac1 Ac 0.3409 0.3409 0.3409
Ac2 Ac 0.6591 0.6591 0.6591
Ag1 Ag 0.0980 0.0980 0.0980
Ag2 Ag 0.9020 0.9020 0.9020
Pd1 Pd 0.5000 0.0000 0.0000
Pd2 Pd 0.0000 0.0000 0.5000
Pd3 Pd 0.0000 0.5000 0.0000
Pd4 Pd 0.0000 0.6979 0.3021
Pd5 Pd 0.6979 0.3021 0.0000
Pd6 Pd 0.3021 0.0000 0.6979
Pd7 Pd 0.3021 0.6979 0.0000
Pd8 Pd 0.6979 0.0000 0.3021
Pd9 Pd 0.0000 0.3021 0.6979
Pd10 Pd 0.1575 0.6531 0.6531
Pd11 Pd 0.6531 0.6531 0.1575
Pd12 Pd 0.6531 0.1575 0.6531
Pd13 Pd 0.8425 0.3469 0.3469
Pd14 Pd 0.3469 0.3469 0.8425
Pd15 Pd 0.3469 0.8425 0.3469
# Total DFT energy (no corrections)   -98.8 eV per formula unit
# M_tot   0.00 μB per formula unit
# Theoretical density   10902 kg/m3



No. 8
# HoPu2Bi PBE-GGA optimized geometry
data_HoPu2Bi
_chemical_formula_sum 'Ho1 Pu2 Bi1'
_space_group_name_H-M_alt 'P 1'
_space_group_IT_number 1
_cell_length_a 5.2096
_cell_length_b 4.6037
_cell_length_c 4.6037
_cell_angle_alpha 90.00
_cell_angle_beta 90.00
_cell_angle_gamma 90.00
loop_
_space_group_symop_operation_xyz
'x,y,z'
loop_
_atom_site_label
_atom_site_type_symbol
_atom_site_fract_x
_atom_site_fract_y
_atom_site_fract_z
Ho1 Ho 0.5000 0.5000 0.5000
Bi1 Bi 0.5000 0.0000 0.0000
Pu1 Pu 0.0000 0.0000 0.5000
Pu2 Pu 0.0000 0.5000 0.0000
# Total DFT energy (no corrections)   -38.1 eV per formula unit
# M_tot   12.55 μB per formula unit
# Theoretical density   12962 kg/m3



No. 9
# TlInAu6 PBE-GGA optimized geometry
data_TlInAu6
_chemical_formula_sum 'Tl1 In1 Au6'
_space_group_name_H-M_alt 'P 1'
_space_group_IT_number 1
_cell_length_a 4.8441
_cell_length_b 5.4896
_cell_length_c 5.8831
_cell_angle_alpha 90.00
_cell_angle_beta 90.00
_cell_angle_gamma 90.00
loop_
_space_group_symop_operation_xyz
'x,y,z'
loop_
_atom_site_label
_atom_site_type_symbol
_atom_site_fract_x
_atom_site_fract_y
_atom_site_fract_z
Tl1 Tl 0.0000 0.6615 0.0000
In1 In 0.5000 0.3481 0.5000
Au1 Au 0.5000 0.8379 0.2539
Au2 Au 0.0000 0.1690 0.7428
Au3 Au 0.0000 0.1690 0.2572
Au4 Au 0.5000 0.8379 0.7461
Au5 Au 0.0000 0.6736 0.5000
Au6 Au 0.5000 0.3030 0.0000
# Total DFT energy (no corrections)   -24.9 eV per formula unit
# M_tot   0.00 μB per formula unit
# Theoretical density   15932 kg/m3



No. 10
# BeHg2As PBE-GGA optimized geometry
data_BeHg2As
_chemical_formula_sum 'Be1 Hg2 As1'
_space_group_name_H-M_alt 'P 1'
_space_group_IT_number 1
_cell_length_a 4.8324
_cell_length_b 4.8324
_cell_length_c 4.8324
_cell_angle_alpha 60.00
_cell_angle_beta 60.00
_cell_angle_gamma 60.00
loop_
_space_group_symop_operation_xyz
'x,y,z'
loop_
_atom_site_label
_atom_site_type_symbol
_atom_site_fract_x
_atom_site_fract_y
_atom_site_fract_z
Be1 Be 0.0000 0.0000 0.0000
As1 As 0.5000 0.5000 0.5000
Hg1 Hg 0.2500 0.2500 0.2500
Hg2 Hg 0.7500 0.7500 0.7500
# Total DFT energy (no corrections)   -6.5 eV per formula unit
# M_tot   0.00 μB per formula unit
# Theoretical density   10095 kg/m3



No. 11
# SnPd3Se2 PBE-GGA optimized geometry
data_SnPd3Se2
_chemical_formula_sum 'Sn2 Pd6 Se4'
_space_group_name_H-M_alt 'P 1'
_space_group_IT_number 1
_cell_length_a 6.2829
_cell_length_b 6.9300
_cell_length_c 6.9300
_cell_angle_alpha 123.91
_cell_angle_beta 100.75
_cell_angle_gamma 100.75
loop_
_space_group_symop_operation_xyz
'x,y,z'
loop_
_atom_site_label
_atom_site_type_symbol
_atom_site_fract_x
_atom_site_fract_y
_atom_site_fract_z
Sn1 Sn 0.2500 0.5632 0.4368
Sn2 Sn 0.7500 0.4368 0.5632
Pd1 Pd 0.9473 0.1181 0.2977
Pd2 Pd 0.4473 0.2977 0.1181
Pd3 Pd 0.0000 0.5000 0.0000
Pd4 Pd 0.0527 0.8819 0.7023
Pd5 Pd 0.5000 0.0000 0.5000
Pd6 Pd 0.5527 0.7023 0.8819
Se1 Se 0.2500 0.9051 0.0949
Se2 Se 0.2500 0.2883 0.7117
Se3 Se 0.7500 0.0949 0.9051
Se4 Se 0.7500 0.7117 0.2883
# ΔE_f (raw)   -0.262 eV/atom
# M_tot   0.00 μB per formula unit
# Theoretical density   8609 kg/m3



No. 12
# YOs3I PBE-GGA optimized geometry
data_YOs3I
_chemical_formula_sum 'Y1 Os3 I1'
_space_group_name_H-M_alt 'P 1'
_space_group_IT_number 1
_cell_length_a 5.0964
_cell_length_b 5.0964
_cell_length_c 5.0964
_cell_angle_alpha 90.00
_cell_angle_beta 90.00
_cell_angle_gamma 90.00
loop_
_space_group_symop_operation_xyz
'x,y,z'
loop_
_atom_site_label
_atom_site_type_symbol
_atom_site_fract_x
_atom_site_fract_y
_atom_site_fract_z
I1 I 0.5000 0.5000 0.5000
Y1 Y 0.0000 0.0000 0.0000
Os1 Os 0.0000 0.5000 0.0000
Os2 Os 0.0000 0.0000 0.5000
Os3 Os 0.5000 0.0000 0.0000
# ΔE_f (raw)   2.963 eV/atom
# M_tot   6.06 μB per formula unit
# Theoretical density   9866 kg/m3